No. 1
First-principles (PBE) data for a relaxed structure of BaAl3Tc, as listed in Alexandria via LeMat-Bulk.

Structure (POSCAR):
```
BaAl3Tc
1.0
-2.5913 -3.8535 4.1978
4.5157 1.0740 4.2000
-3.2184 4.6409 2.7000
Al Ba Tc
6 2 2
Cartesian
-0.8898 -1.9842 6.9729 Al
-3.3633 2.6859 5.9012 Al
1.9885 2.5556 6.5471 Al
-3.2826 -0.6943 4.5507 Al
2.0692 -0.8245 5.1966 Al
-0.4042 3.8455 4.1249 Al
0.0000 0.0000 0.0000 Ba
-0.6470 0.9307 5.5489 Ba
-0.3235 0.4653 2.7745 Tc
-0.9705 1.3960 8.3234 Tc
```

Values from the calculation:
E_form   14.55 kcal/mol of atoms


No. 2
First-principles (PBE) data for a relaxed structure of BaAlTc2, as listed in Alexandria via LeMat-Bulk.

Structure (POSCAR):
```
BaAlTc2
1.0
4.6866 0.0000 0.0000
0.0000 3.6331 -0.0042
0.0000 0.8871 6.0177
Al Ba Tc
1 1 2
Cartesian
2.3433 1.1301 1.5034 Al
2.3433 3.3902 4.5101 Ba
0.0000 0.2369 0.7735 Tc
0.0000 2.0232 2.2333 Tc
```

Values from the calculation:
E_form   11.10 kcal/mol of atoms


One value per record, in order, for E_tot: -4.072 -6.118 eV/atom.